Entry 1:
A plane-wave DFT calculation with PBE-GGA was carried out for a geometry-optimized MgNiPd14 structure.

The structure in POSCAR format:
```
MgNiPd14
1.0
5.535 -0.307 0.000
-2.452 4.972 0.000
0.000 0.000 9.133
Mg Ni Pd
1 1 14
Direct
0.544 0.456 0.500 Mg
0.044 0.956 0.500 Ni
0.206 0.794 0.000 Pd
0.706 0.294 0.000 Pd
0.046 0.455 0.500 Pd
0.206 0.293 0.000 Pd
0.545 0.954 0.500 Pd
0.707 0.794 0.000 Pd
0.372 0.124 0.743 Pd
0.372 0.124 0.257 Pd
0.876 0.628 0.743 Pd
0.876 0.628 0.257 Pd
0.375 0.625 0.750 Pd
0.375 0.625 0.250 Pd
0.876 0.124 0.745 Pd
0.876 0.124 0.255 Pd
```

E_tot, eV/atom: -5.1018



Entry 2:
A plane-wave DFT calculation with PBE-GGA was carried out for a geometry-optimized Mg3NiPd2 structure.

The structure in POSCAR format:
```
Mg3NiPd2
1.0
-2.191 -1.480 -1.532
2.126 -1.395 -1.694
0.395 -7.433 6.614
Mg Ni Pd
3 1 2
Direct
0.000 0.000 0.000 Mg
0.000 0.000 0.657 Mg
0.000 0.000 0.343 Mg
0.500 0.500 0.500 Ni
0.500 0.500 0.828 Pd
0.500 0.500 0.172 Pd
```

E_tot, eV/atom: -4.0192



Entry 3:
A plane-wave DFT calculation with PBE-GGA was carried out for a geometry-optimized Mg5NiPd structure.

The structure in POSCAR format:
```
Mg5NiPd
1.0
6.771 0.034 -0.092
2.180 6.411 -0.092
3.100 2.232 7.914
Mg Ni Pd
10 2 2
Direct
0.793 0.718 0.140 Mg
0.292 0.668 0.456 Mg
0.718 0.793 0.640 Mg
0.894 0.106 0.250 Mg
0.332 0.708 0.044 Mg
0.668 0.292 0.956 Mg
0.106 0.894 0.750 Mg
0.282 0.207 0.360 Mg
0.708 0.332 0.544 Mg
0.207 0.282 0.860 Mg
0.000 0.000 0.000 Ni
0.000 0.000 0.500 Ni
0.564 0.436 0.250 Pd
0.436 0.564 0.750 Pd
```

E_tot, eV/atom: -2.7238



Entry 4:
A plane-wave DFT calculation with PBE-GGA was carried out for a geometry-optimized Mg5NiPd4 structure.

The structure in POSCAR format:
```
Mg5NiPd4
1.0
3.221 0.000 0.000
0.000 3.221 0.000
0.000 0.000 15.236
Mg Ni Pd
5 1 4
Direct
0.500 0.500 0.095 Mg
0.500 0.500 0.297 Mg
0.500 0.500 0.500 Mg
0.500 0.500 0.703 Mg
0.500 0.500 0.905 Mg
0.000 0.000 0.000 Ni
0.000 0.000 0.195 Pd
0.000 0.000 0.398 Pd
0.000 0.000 0.602 Pd
0.000 0.000 0.805 Pd
```

E_tot, eV/atom: -4.0681



Entry 5:
A plane-wave DFT calculation with PBE-GGA was carried out for a geometry-optimized Mg3NiPd2 structure.

The structure in POSCAR format:
```
Mg3NiPd2
1.0
-0.502 -3.423 -2.794
2.257 -0.539 3.794
-9.222 -2.799 5.088
Mg Ni Pd
6 2 4
Direct
0.333 0.667 0.418 Mg
0.667 0.333 0.087 Mg
0.000 0.000 0.746 Mg
0.000 0.000 0.254 Mg
0.333 0.667 0.913 Mg
0.667 0.333 0.582 Mg
0.333 0.667 0.666 Ni
0.667 0.333 0.334 Ni
0.000 0.000 0.500 Pd
0.333 0.667 0.169 Pd
0.667 0.333 0.831 Pd
0.000 0.000 0.000 Pd
```

E_tot, eV/atom: -4.0188



Entry 6:
A plane-wave DFT calculation with PBE-GGA was carried out for a geometry-optimized MgNiPd structure.

The structure in POSCAR format:
```
MgNiPd
1.0
2.970 0.000 0.000
0.000 2.970 0.000
-1.485 -1.485 4.898
Ni Mg Pd
1 1 1
Direct
0.283 0.283 0.566 Ni
0.622 0.622 0.244 Mg
0.945 0.945 0.890 Pd
```

E_tot, eV/atom: -4.4545
Energy above the most stable polymorph in this dataset, eV/atom: 0.056



Entry 7:
A plane-wave DFT calculation with PBE-GGA was carried out for a geometry-optimized MgNiPd structure.

The structure in POSCAR format:
```
MgNiPd
1.0
3.863 0.000 0.000
-1.932 4.182 0.086
0.000 -1.591 5.320
Ni Pd Mg
2 2 2
Direct
0.676 0.352 0.348 Ni
0.324 0.648 0.652 Ni
0.000 0.000 0.500 Pd
0.000 0.000 0.000 Pd
0.344 0.688 0.186 Mg
0.656 0.312 0.814 Mg
```

E_tot, eV/atom: -4.5105
Energy above the most stable polymorph in this dataset, eV/atom: 0.000



Entry 8:
A plane-wave DFT calculation with PBE-GGA was carried out for a geometry-optimized Mg2NiPd structure.

The structure in POSCAR format:
```
Mg2NiPd
1.0
-2.080 0.198 -6.582
6.560 -0.550 -2.089
2.004 -2.955 -4.345
Ni Mg Pd
2 4 2
Direct
0.500 0.500 0.000 Ni
0.250 0.750 0.500 Ni
0.614 0.125 0.250 Mg
0.136 0.625 0.250 Mg
0.375 0.386 0.750 Mg
0.875 0.864 0.750 Mg
0.000 0.000 0.000 Pd
0.750 0.250 0.500 Pd
```

E_tot, eV/atom: -3.5994



Entry 9:
A plane-wave DFT calculation with PBE-GGA was carried out for a geometry-optimized Mg2NiPd8 structure.

The structure in POSCAR format:
```
Mg2NiPd8
1.0
4.558 1.342 1.018
1.601 8.031 2.809
1.601 4.867 6.978
Mg Ni Pd
2 1 8
Direct
0.485 0.820 0.820 Mg
0.515 0.180 0.180 Mg
0.000 0.000 0.000 Ni
0.218 0.334 0.836 Pd
0.782 0.164 0.666 Pd
0.123 0.744 0.744 Pd
0.877 0.256 0.256 Pd
0.218 0.836 0.334 Pd
0.782 0.666 0.164 Pd
0.721 0.584 0.584 Pd
0.279 0.416 0.416 Pd
```

E_tot, eV/atom: -4.7482
Energy above the most stable polymorph in this dataset, eV/atom: 0.078



Entry 10:
A plane-wave DFT calculation with PBE-GGA was carried out for a geometry-optimized PrMgNiPd structure.

The structure in POSCAR format:
```
PrMgNiPd
1.0
-0.304 3.172 -3.630
-1.970 -1.325 -4.206
-4.301 1.762 -1.314
Pr Ni Mg Pd
1 1 1 1
Direct
0.000 0.000 0.000 Pr
0.750 0.750 0.750 Ni
0.500 0.500 0.500 Mg
0.250 0.250 0.250 Pd
```

E_tot, eV/atom: -4.7283



Entry 11:
A plane-wave DFT calculation with PBE-GGA was carried out for a geometry-optimized MgNi2PdPt structure.

The structure in POSCAR format:
```
MgNi2PdPt
1.0
-3.580 -2.395 -1.349
2.821 -3.232 -1.750
-0.036 -2.173 3.956
Ni Mg Pd Pt
2 1 1 1
Direct
0.000 0.000 0.500 Ni
0.500 0.000 0.000 Ni
0.000 0.500 0.000 Mg
0.000 0.000 0.000 Pd
0.500 0.500 0.500 Pt
```

E_tot, eV/atom: -3.9915



Entry 12:
A plane-wave DFT calculation with PBE-GGA was carried out for a geometry-optimized MgNiPdPt2 structure.

The structure in POSCAR format:
```
MgNiPdPt2
1.0
-1.390 1.118 -4.178
-2.629 -3.610 -0.091
-3.400 2.431 1.782
Ni Mg Pd Pt
1 1 1 2
Direct
0.000 0.000 0.000 Ni
0.000 0.500 0.000 Mg
0.500 0.500 0.500 Pd
0.000 0.000 0.500 Pt
0.500 0.000 0.000 Pt
```

E_tot, eV/atom: -4.4406



Entry 13:
A plane-wave DFT calculation with PBE-GGA was carried out for a geometry-optimized MgNiSb2Pd structure.

The structure in POSCAR format:
```
MgNiSb2Pd
1.0
5.126 0.000 0.000
0.000 4.795 0.000
0.000 0.000 5.126
Sb Mg Pd Ni
2 1 1 1
Direct
0.000 0.000 0.500 Sb
0.500 0.000 0.000 Sb
0.500 0.500 0.500 Mg
0.000 0.000 0.000 Pd
0.000 0.500 0.000 Ni
```

E_tot, eV/atom: -3.7304
Formation energy without anion corrections, eV per atom: 0.43



Entry 14:
A plane-wave DFT calculation with PBE-GGA was carried out for a geometry-optimized Mg2Si2NiPd5 structure.

The structure in POSCAR format:
```
Mg2Si2NiPd5
1.0
-1.700 -1.593 2.604
4.989 -7.826 -1.532
6.531 2.973 6.082
Mg Si Ni Pd
4 4 2 10
Direct
0.000 0.671 0.171 Mg
0.000 0.329 0.829 Mg
0.000 0.171 0.329 Mg
0.000 0.829 0.671 Mg
0.000 0.131 0.631 Si
0.000 0.869 0.369 Si
0.000 0.631 0.869 Si
0.000 0.369 0.131 Si
0.000 0.000 0.000 Ni
0.000 0.500 0.500 Ni
0.500 0.202 0.073 Pd
0.500 0.798 0.927 Pd
0.500 0.073 0.798 Pd
0.500 0.702 0.427 Pd
0.500 0.927 0.202 Pd
0.500 0.298 0.573 Pd
0.500 0.573 0.702 Pd
0.500 0.427 0.298 Pd
0.500 0.500 0.000 Pd
0.500 0.000 0.500 Pd
```

E_tot, eV/atom: -5.0821
Formation energy without anion corrections, eV per atom: -0.50



Entry 15:
A plane-wave DFT calculation with PBE-GGA was carried out for a geometry-optimized MgNiSnPd structure.

The structure in POSCAR format:
```
MgNiSnPd
1.0
-2.027 3.306 2.281
-3.860 1.742 -1.518
-3.847 -0.807 2.189
Ni Mg Sn Pd
1 1 1 1
Direct
0.000 0.000 0.000 Ni
0.750 0.750 0.750 Mg
0.250 0.250 0.250 Sn
0.500 0.500 0.500 Pd
```

E_tot, eV/atom: -4.5912



Entry 16:
A plane-wave DFT calculation with PBE-GGA was carried out for a geometry-optimized TbMgNiPd structure.

The structure in POSCAR format:
```
TbMgNiPd
1.0
-0.956 -2.684 3.744
3.368 -0.926 3.152
-0.196 1.927 4.287
Ni Mg Tb Pd
1 1 1 1
Direct
0.250 0.250 0.250 Ni
0.500 0.500 0.500 Mg
0.000 0.000 0.000 Tb
0.750 0.750 0.750 Pd
```

E_tot, eV/atom: -4.8147



Entry 17:
A plane-wave DFT calculation with PBE-GGA was carried out for a geometry-optimized ThMgNiPd structure.

The structure in POSCAR format:
```
ThMgNiPd
1.0
-1.889 -1.848 -4.038
2.865 -2.124 -3.252
-0.176 -4.784 -0.612
Ni Mg Pd Th
1 1 1 1
Direct
0.000 0.000 0.000 Ni
0.250 0.250 0.250 Mg
0.500 0.500 0.500 Pd
0.750 0.750 0.750 Th
```

E_tot, eV/atom: -5.4676



Entry 18:
A plane-wave DFT calculation with PBE-GGA was carried out for a geometry-optimized MgTiNiPd structure.

The structure in POSCAR format:
```
MgTiNiPd
1.0
4.388 0.000 0.000
2.194 3.800 0.000
2.194 1.267 3.583
Ni Mg Pd Ti
1 1 1 1
Direct
0.000 0.000 0.000 Ni
0.750 0.750 0.750 Mg
0.500 0.500 0.500 Pd
0.250 0.250 0.250 Ti
```

E_tot, eV/atom: -5.5462



Entry 19:
A plane-wave DFT calculation with PBE-GGA was carried out for a geometry-optimized Mg2TiNiPd structure.

The structure in POSCAR format:
```
Mg2TiNiPd
1.0
4.486 0.000 0.000
0.000 4.765 0.000
0.000 0.000 4.486
Ni Mg Pd Ti
1 2 1 1
Direct
0.000 0.000 0.000 Ni
0.000 0.000 0.500 Mg
0.500 0.000 0.000 Mg
0.000 0.500 0.000 Pd
0.500 0.500 0.500 Ti
```

E_tot, eV/atom: -3.9645



Entry 20:
A plane-wave DFT calculation with PBE-GGA was carried out for a geometry-optimized MgVNiPd2 structure.

The structure in POSCAR format:
```
MgVNiPd2
1.0
-2.180 -1.622 -3.605
0.692 -4.019 1.390
-3.887 0.124 2.294
Ni Mg Pd V
1 1 2 1
Direct
0.000 0.500 0.000 Ni
0.000 0.000 0.000 Mg
0.000 0.000 0.500 Pd
0.500 0.000 0.000 Pd
0.500 0.500 0.500 V
```

E_tot, eV/atom: -4.3416



Entry 21:
A plane-wave DFT calculation with PBE-GGA was carried out for a geometry-optimized Mg2VNiPd structure.

The structure in POSCAR format:
```
Mg2VNiPd
1.0
5.012 0.000 0.000
0.000 4.152 0.000
0.000 0.000 5.012
Ni Mg Pd V
1 2 1 1
Direct
0.000 0.500 0.000 Ni
0.000 0.000 0.500 Mg
0.500 0.000 0.000 Mg
0.500 0.500 0.500 Pd
0.000 0.000 0.000 V
```

E_tot, eV/atom: -3.7106



Entry 22:
A plane-wave DFT calculation with PBE-GGA was carried out for a geometry-optimized MgZnNiPd structure.

The structure in POSCAR format:
```
MgZnNiPd
1.0
4.050 0.000 0.000
0.000 4.050 0.000
-2.025 -2.025 3.457
Mg Zn Ni Pd
1 1 1 1
Direct
0.500 0.500 0.000 Mg
0.000 0.000 0.000 Zn
0.250 0.750 0.500 Ni
0.750 0.250 0.500 Pd
```

E_tot, eV/atom: -3.8740
Energy above the most stable polymorph in this dataset, eV/atom: 0.000



Entry 23:
A plane-wave DFT calculation with PBE-GGA was carried out for a geometry-optimized MgZnNiPd structure.

The structure in POSCAR format:
```
MgZnNiPd
1.0
-2.285 -2.834 2.311
1.956 -2.426 2.981
-0.731 0.724 4.188
Ni Zn Mg Pd
1 1 1 1
Direct
0.250 0.250 0.250 Ni
0.000 0.000 0.000 Zn
0.500 0.500 0.500 Mg
0.750 0.750 0.750 Pd
```

E_tot, eV/atom: -3.8593
Energy above the most stable polymorph in this dataset, eV/atom: 0.015



Entry 24:
A plane-wave DFT calculation with PBE-GGA was carried out for a geometry-optimized PmMgNi5 structure.

The structure in POSCAR format:
```
PmMgNi5
1.0
-4.430 1.435 1.405
-3.306 -6.116 -4.179
0.676 -6.035 8.297
Pm Mg Ni
4 4 20
Direct
0.250 0.247 0.941 Pm
0.750 0.253 0.441 Pm
0.250 0.747 0.559 Pm
0.750 0.753 0.059 Pm
0.250 0.862 0.860 Mg
0.750 0.638 0.360 Mg
0.250 0.362 0.640 Mg
0.750 0.138 0.140 Mg
0.250 0.583 0.016 Ni
0.750 0.917 0.516 Ni
0.250 0.083 0.484 Ni
0.750 0.417 0.984 Ni
0.750 0.312 0.758 Ni
0.250 0.188 0.258 Ni
0.750 0.812 0.742 Ni
0.250 0.688 0.242 Ni
0.250 0.953 0.108 Ni
0.750 0.547 0.608 Ni
0.250 0.453 0.392 Ni
0.750 0.047 0.892 Ni
0.999 0.432 0.189 Ni
0.001 0.068 0.689 Ni
0.501 0.932 0.311 Ni
0.499 0.568 0.811 Ni
0.001 0.568 0.811 Ni
0.999 0.932 0.311 Ni
0.499 0.068 0.689 Ni
0.501 0.432 0.189 Ni
```

E_tot, eV/atom: -5.3075